Entry 1:
# Cs2ScCd3F12

A geometry-optimized Cs2ScCd3F12 structure (PBE, Alexandria).

Cell lengths 8.0271, 8.0271, 8.0271 Å; angles 59.19, 59.19, 59.19 degrees
Last column: nearest neighbours and their distance in Å.
Positions (direct):
Cs1 0.6320 0.6320 0.6320  6 F 3.38-3.41
Cs2 0.3680 0.3680 0.3680  6 F 3.38-3.41
Sc1 0.0000 0.0000 0.0000  6 F 2.03
Cd1 0.5000 0.0000 0.0000  6 F 2.19-2.25
Cd2 0.0000 0.5000 0.0000  6 F 2.19-2.25
Cd3 0.0000 0.0000 0.5000  6 F 2.19-2.25
F1 0.3321 0.3321 0.9305  2 Cd 2.19
F2 0.9335 0.9335 0.3033  1 Sc 2.03, 1 Cd 2.25
F3 0.3033 0.9335 0.9335  1 Sc 2.03, 1 Cd 2.25
F4 0.9305 0.3321 0.3321  2 Cd 2.19
F5 0.9335 0.3033 0.9335  1 Sc 2.03, 1 Cd 2.25
F6 0.3321 0.9305 0.3321  2 Cd 2.19
F7 0.6679 0.6679 0.0695  2 Cd 2.19
F8 0.0665 0.0665 0.6967  1 Sc 2.03, 1 Cd 2.25
F9 0.6967 0.0665 0.0665  1 Sc 2.03, 1 Cd 2.25
F10 0.0695 0.6679 0.6679  2 Cd 2.19
F11 0.0665 0.6967 0.0665  1 Sc 2.03, 1 Cd 2.25
F12 0.6679 0.0695 0.6679  2 Cd 2.19

Magnetization in μB/cell: 0.0
E_tot in eV/cell: -80.5
Formation energy without anion corrections in meV/atom: -2624.3

=====

Entry 2:
# NpU2As2

A geometry-optimized NpU2As2 structure (PBE, Alexandria).

Cell lengths 3.7036, 5.5391, 5.5380 Å; angles 79.08, 70.49, 70.45 degrees
Last column: nearest neighbours and their distance in Å.
Positions (direct):
Np1 0.5000 0.5000 0.0000  4 U 2.64, 4 As 2.91
U1 0.0000 0.2336 0.2662  2 Np 2.64, 6 As 2.93-2.95
U2 0.0000 0.7664 0.7338  2 Np 2.64, 6 As 2.93-2.95
As1 0.2918 0.2081 0.7079  2 Np 2.91, 6 U 2.93-2.95, 1 As 3.20
As2 0.7082 0.7919 0.2921  2 Np 2.91, 6 U 2.93-2.95, 1 As 3.20

Magnetization in μB/cell: 3.0
Formation energy from the elements in eV/f.u.: -2.02
E_tot in eV/cell: -46.8

=====

Entry 3:
# TiZnC3

A geometry-optimized TiZnC3 structure (PBE, Alexandria).

Cell lengths 4.0487, 4.0487, 4.0487 Å; angles 90.00, 90.00, 90.00 degrees
Last column: nearest neighbours and their distance in Å.
Positions (direct):
Zn1 0.5000 0.5000 0.5000  12 C 2.86
C1 0.0000 0.5000 0.0000  2 Ti 2.02
C2 0.0000 0.0000 0.5000  2 Ti 2.02
C3 0.5000 0.0000 0.0000  2 Ti 2.02
Ti1 0.0000 0.0000 0.0000  6 C 2.02

Magnetization in μB/cell: 0.0
Offset from the most stable computed form in meV/atom: 0
Formation energy from the elements in eV/f.u.: 9.68
E_tot in eV/cell: -27.2

=====

Entry 4:
# DyTlHg3

A geometry-optimized DyTlHg3 structure (PBE, Alexandria).

Cell lengths 6.5266, 5.0639, 8.7879 Å; angles 106.75, 111.15, 90.00 degrees
Last column: nearest neighbours and their distance in Å.
Positions (direct):
Dy1 0.0303 0.3896 0.7793  8 Hg 3.13-3.36, 2 Tl 3.40
Dy2 0.9697 0.6104 0.2207  8 Hg 3.13-3.36, 2 Tl 3.40
Tl1 0.3139 0.2146 0.4292  6 Hg 3.17-3.41, 2 Tl 3.40, 2 Dy 3.40
Tl2 0.6861 0.7854 0.5708  6 Hg 3.17-3.41, 2 Tl 3.40, 2 Dy 3.40
Hg1 0.7692 0.9982 0.9965  4 Hg 2.96-3.09, 2 Dy 3.13
Hg2 0.2308 0.0018 0.0035  4 Hg 2.96-3.09, 2 Dy 3.13
Hg3 0.4439 0.5831 0.1663  3 Hg 2.96-3.15, 1 Tl 3.17, 2 Dy 3.29
Hg4 0.5561 0.4169 0.8337  3 Hg 2.96-3.15, 1 Tl 3.17, 2 Dy 3.29
Hg5 0.2173 0.8161 0.6322  3 Hg 3.09-3.37, 3 Dy 3.22-3.25, 4 Tl 3.25-3.31
Hg6 0.7827 0.1839 0.3678  3 Hg 3.09-3.37, 3 Dy 3.22-3.25, 4 Tl 3.25-3.31

Magnetization in μB/cell: 0.0
Offset from the most stable computed form in meV/atom: 0
Formation energy from the elements in eV/f.u.: -0.97
E_tot in eV/cell: -17.7